(1)
# BaTmAuSe3

A relaxed structure of BaTmAuSe3 (PBE, Alexandria).

Computed properties:
- space group = P2_1/m (11)
- formation energy (no corrections) (eV/f.u.) = -8.9

POSCAR file:
```
BaTmAuSe3
1.0
4.2151 0.0000 0.0000
0.0000 8.5655 -0.2137
0.0000 -2.4722 9.2963
Se Au Ba Tm
6 2 2 2
Cartesian
1.0538 5.1186 4.1699
1.0538 2.6249 7.8089
3.1613 7.3697 1.0285
3.1613 3.4685 1.2737
3.1613 0.9748 4.9127
1.0538 -1.2763 8.0540
3.1613 6.6974 3.5970
1.0538 -0.6041 5.4856
1.0538 1.1639 2.3214
3.1613 4.9295 6.7611
1.0538 5.4250 1.3499
3.1613 0.6684 7.7327
```

***

(2)
# LiAgRh2

A relaxed structure of LiAgRh2 (PBE, Alexandria).

Computed properties:
- space group = P4/mmm (123)
- calculated formation energy (meV/atom) = 181
- ΔE to the lowest computed polymorph (eV per atom) = 0.1845

POSCAR file:
```
LiAgRh2
1.0
-0.2971 -2.2880 -1.3623
1.1375 -1.3484 2.0166
-7.4502 -1.0977 3.4685
Rh Li Ag
2 1 1
Cartesian
-3.8396 -0.5657 1.7876
-7.3357 -1.0808 3.4152
-5.1674 -2.6415 2.9285
-1.4424 -2.0926 1.1943
```

***

(3)
# RbMnIn3

A relaxed structure of RbMnIn3 (PBE, Alexandria).

Computed properties:
- space group = Pm-3m (221)
- calculated formation energy (meV/atom) = 86
- ΔE to the lowest computed polymorph (eV per atom) = 0.0000

POSCAR file:
```
RbMnIn3
1.0
-1.8313 0.9367 4.7752
3.9115 -2.7518 2.0399
2.8949 4.3108 0.2645
In Mn Rb
3 1 1
Cartesian
-0.9156 0.4684 2.3876
1.9557 -1.3759 1.0199
1.4474 2.1554 0.1323
0.0000 0.0000 0.0000
2.4875 1.2479 3.5398
```

***

(4)
# PrTh5C6

A relaxed structure of PrTh5C6 (PBE, Alexandria).

Computed properties:
- space group = C2/m (12)
- calculated formation energy (meV/atom) = -203

POSCAR file:
```
PrTh5C6
1.0
-0.4927 -6.3055 -1.6912
5.3316 2.1372 3.1415
-4.3070 0.1486 4.9311
C Pr Th
6 1 5
Cartesian
-0.6137 -4.4390 3.9192
1.1456 0.4193 2.4622
-0.8579 -2.4850 0.7998
-1.9554 -0.9691 4.0496
1.3899 -1.5347 5.5816
2.4873 -3.0506 2.3318
0.0000 0.0000 0.0000
1.4462 -3.4949 -0.0824
-1.6762 -4.8252 1.5792
2.2082 0.8055 4.8022
0.2660 -2.0099 3.1907
3.3927 -0.6734 1.5327
```

***

(5)
# SmPuFe

A relaxed structure of SmPuFe (PBE, Alexandria).

Computed properties:
- space group = P2_1/c (14)
- calculated formation energy (meV/atom) = 22
- ΔE to the lowest computed polymorph (eV per atom) = 0.0000

POSCAR file:
```
SmPuFe
1.0
-1.9658 5.9456 -2.7003
2.5607 -1.7498 -5.7170
-4.9215 -5.0257 -0.6661
Sm Fe Pu
4 4 4
Cartesian
-5.4511 -0.4808 -3.5619
-2.7222 0.3864 -6.3048
-1.6044 -1.2162 -2.7787
1.1246 -0.3491 -5.5215
-3.2670 -3.3860 -0.8319
-3.5375 -2.2462 -5.0017
-0.7891 1.4163 -4.0818
-1.0596 2.5561 -8.2516
-1.5077 -2.8495 -5.8747
-2.8189 2.0196 -3.2087
-0.3910 2.8830 -6.0853
-3.9356 -3.7129 -2.9981
```

***

Number 1: DFT total energy -4.8396 eV/atom. Number 2: DFT total energy -4.6861 eV/atom. Number 3: DFT total energy -3.5842 eV/atom. Number 4: DFT total energy -8.3047 eV/atom. Number 5: DFT total energy -9.1490 eV/atom.